Here is a relaxed Al2Zn3Ga3 crystal from Alexandria via LeMat-Bulk. Energies are from PBE.

* energy relative to the lowest polymorph listed for this composition: 0.0718 eV/atom
* magnetization: 0.00 μB per cell
* formation enthalpy at 0 K: 0.110 eV per atom
* E: -19.50 eV per cell

POSCAR file:
```
Al2Zn3Ga3
1.0
4.688 -2.225 0.000
4.688 2.225 0.000
-0.983 0.000 7.011
Al Zn Ga
2 3 3
direct
0.204 0.204 0.351 Al
0.796 0.796 0.649 Al
0.000 0.000 0.000 Zn
0.118 0.118 0.695 Zn
0.882 0.882 0.305 Zn
0.389 0.389 0.851 Ga
0.500 0.500 0.500 Ga
0.611 0.611 0.149 Ga
```

Here is a relaxed La2IBr crystal from Alexandria via LeMat-Bulk. Energies are from PBE.

* energy relative to the lowest polymorph listed for this composition: 0.0213 eV/atom
* magnetization: 0.00 μB per cell
* E: -17.58 eV per cell

POSCAR file:
```
La2IBr
1.0
1.944 1.122 9.530
-1.944 1.122 9.530
0.000 -2.244 9.530
La I Br
2 1 1
direct
0.246 0.246 0.246 La
0.754 0.754 0.754 La
0.000 0.000 0.000 I
0.500 0.500 0.500 Br
```

Here is a relaxed RbUAu2S4 crystal from Alexandria via LeMat-Bulk. Energies are from PBE.

* magnetization: 1.00 μB per cell
* E: -40.76 eV per cell

POSCAR file:
```
RbUAu2S4
1.0
-3.026 4.273 4.638
3.026 -4.273 4.638
3.026 4.273 -4.638
Rb U Au S
1 1 2 4
direct
0.000 0.000 0.000 Rb
0.500 0.500 0.000 U
0.341 0.841 0.500 Au
0.659 0.159 0.500 Au
0.147 0.118 0.618 S
0.500 0.529 0.382 S
0.500 0.882 0.029 S
0.853 0.471 0.971 S
```

Here is a relaxed Ca2AlRuPb crystal from Alexandria via LeMat-Bulk. Energies are from PBE.

* magnetization: 0.00 μB per cell
* formation enthalpy at 0 K: 0.079 eV per atom
* E: -20.34 eV per cell

POSCAR file:
```
Ca2AlRuPb
1.0
5.622 0.000 0.000
0.000 5.622 0.000
0.000 0.000 4.975
Ca Al Ru Pb
2 1 1 1
direct
0.000 0.500 0.000 Ca
0.500 0.000 0.000 Ca
0.000 0.000 0.500 Al
0.000 0.000 0.000 Ru
0.500 0.500 0.500 Pb
```